The following is a meta-GGA SCAN calculation of a crystal of LaTlTe2Rh relaxed with PBEsol, from the Alexandria database.

For the formation energy (no corrections), the calculation gives 15 meV per atom. The value obtained for the raw total energy is -44.73 eV/atom. Its size of the total moment is 0.8 μB per formula unit.

The structure belongs to space group P4/mmm (No. 123); the cell edges are 6.157, 6.157 and 4.818 Å and the angles 90.00°, 90.00° and 90.00°. The asymmetric unit holds La at (0.000, 0.000, 0.000), Tl at (0.500, 0.500, 0.500), Te at (0.000, 0.500, 0.000) and Rh at (0.000, 0.000, 0.500).

---

The following is a meta-GGA SCAN calculation of a crystal of TlAg2Te2 relaxed with PBEsol, from the Alexandria database.

For the formation energy (no corrections), the calculation gives -138 meV per atom. The value obtained for the raw total energy is -42.06 eV/atom. Its offset from the most stable computed form is 0 meV per atom. Its size of the total moment is 0.0 μB per formula unit.

The structure belongs to space group I4/mmm (No. 139); the cell edges are 4.103, 4.103 and 15.503 Å and the angles 90.00°, 90.00° and 90.00°. The asymmetric unit holds Tl at (0.000, 0.000, 0.000), Ag at (0.000, 0.500, 0.250) and Te at (0.000, 0.000, 0.375).